# 1
Compound: Rb3Th3Te8Au
Source: the Alexandria database
Functional: PBE
Structure: optimized geometry

abc: 9.7317 8.9973 9.6737
angles: 113.41 90.00 122.74
Atoms (fractional coordinates):
Rb: 0.0000 0.0000 0.0000
Rb: 0.0000 0.5000 0.0000
Rb: 0.5000 0.5000 0.0000
Th: 0.5000 0.0000 0.5000
Th: 0.5000 0.5000 0.5000
Th: 0.0000 0.5000 0.5000
Te: 0.2630 0.5261 0.2915
Te: 0.7370 0.4739 0.7085
Te: 0.7999 0.5997 0.3282
Te: 0.2001 0.4003 0.6718
Te: 0.7397 0.0530 0.2817
Te: 0.2603 0.9470 0.7183
Te: 0.3133 0.0530 0.2817
Te: 0.6867 0.9470 0.7183
Au: 0.0000 0.0000 0.5000

Calculated values
The space group is No. 12. For the uncorrected formation energy, the calculation gives -1.031 eV/atom. Its uncorrected energy is -69.04 eV per cell. The calculation puts the total magnetization at 0.0 μB per formula unit.

---

# 2
Compound: Rb2Th2Te6Au
Source: the Alexandria database
Functional: PBE
Structure: optimized geometry

abc: 7.9162 7.9162 9.2153
angles: 97.52 97.52 122.38
Atoms (fractional coordinates):
Rb: 0.8405 0.1595 0.0000
Rb: 0.1595 0.8405 0.0000
Th: 0.3320 0.6680 0.5000
Th: 0.6680 0.3320 0.5000
Te: 0.7638 0.7638 0.6769
Te: 0.0675 0.4150 0.7059
Te: 0.2362 0.2362 0.3231
Te: 0.4150 0.0675 0.7059
Te: 0.9325 0.5850 0.2941
Te: 0.5850 0.9325 0.2941
Au: 0.0000 0.0000 0.5000

Calculated values
The space group is No. 12. For the uncorrected formation energy, the calculation gives -0.912 eV/atom. Its uncorrected energy is -48.93 eV per cell. The calculation puts the total magnetization at 0.0 μB per formula unit.

---

# 3
Compound: RbTlTeAu
Source: the Alexandria database
Functional: PBE
Structure: optimized geometry

abc: 4.5557 4.5557 14.2113
angles: 90.00 90.00 90.00
Atoms (fractional coordinates):
Rb: 0.7500 0.7500 0.2993
Rb: 0.2500 0.2500 0.7007
Tl: 0.7500 0.2500 0.0000
Tl: 0.2500 0.7500 0.0000
Te: 0.7500 0.7500 0.8321
Te: 0.2500 0.2500 0.1679
Au: 0.2500 0.7500 0.5000
Au: 0.7500 0.2500 0.5000

Calculated values
The space group is No. 129. For the uncorrected formation energy, the calculation gives -0.172 eV/atom. Its uncorrected energy is -20.88 eV per cell. The calculation puts the total magnetization at 0.0 μB per formula unit.

---

# 4
Compound: RbU2Te6Au2
Source: the Alexandria database
Functional: PBE
Structure: optimized geometry

abc: 8.1146 8.6816 8.6847
angles: 123.33 90.81 59.85
Each line ends with the local moment (μB).
Atoms (fractional coordinates):
Rb: 0.5000 0.0000 0.5000  0.00
U: 0.8386 0.3289 0.8420  1.88
U: 0.1614 0.6711 0.1580  1.88
Te: 0.4134 0.7909 0.0535  -0.09
Te: 0.9971 0.4370 0.1820  -0.09
Te: 0.2027 0.8230 0.5604  -0.08
Te: 0.0029 0.5630 0.8180  -0.09
Te: 0.7973 0.1770 0.4396  -0.08
Te: 0.5866 0.2091 0.9465  -0.09
Au: 0.1994 0.7377 0.8152  -0.04
Au: 0.8006 0.2623 0.1848  -0.04

Calculated values
The space group is No. 2. For the uncorrected formation energy, the calculation gives -0.464 eV/atom. Its uncorrected energy is -54.05 eV per cell. The calculation puts the total magnetization at 3.0 μB per formula unit.